a:
# Mn2ZnTe | the Alexandria database | PBE-GGA | relaxed
# Calculated density in Mg/m³: 6.4
data_Mn2ZnTe
_cell_length_a 4.0179
_cell_length_b 4.0179
_cell_length_c 16.9463
_cell_angle_alpha 90.00
_cell_angle_beta 90.00
_cell_angle_gamma 120.00
_symmetry_space_group_name_H-M 'R 3 m'
_symmetry_Int_Tables_number 160
_symmetry_space_group_name_Hall 'R 3 -2"'
loop_
_atom_site_label
_atom_site_type_symbol
_atom_site_fract_x
_atom_site_fract_y
_atom_site_fract_z
Mn1 Mn 0.0000 0.0000 0.0000
Mn2 Mn 0.0000 0.0000 0.3002
Zn1 Zn 0.0000 0.0000 0.5592
Te1 Te 0.0000 0.0000 0.7528

***

b:
# Mn2ZnTe | the Alexandria database | PBE-GGA | relaxed
# Calculated density in Mg/m³: 7.1
data_Mn2ZnTe
_cell_length_a 3.0745
_cell_length_b 3.0745
_cell_length_c 7.5206
_cell_angle_alpha 90.00
_cell_angle_beta 90.00
_cell_angle_gamma 90.00
_symmetry_space_group_name_H-M 'P 4 m m'
_symmetry_Int_Tables_number 99
loop_
_symmetry_equiv_pos_as_xyz
'x,y,z'
'-y,x,z'
'-x,-y,z'
'y,-x,z'
'-x,y,z'
'y,x,z'
'x,-y,z'
'-y,-x,z'
loop_
_atom_site_label
_atom_site_type_symbol
_atom_site_fract_x
_atom_site_fract_y
_atom_site_fract_z
Mn1 Mn 0.0000 0.0000 0.0000
Mn2 Mn 0.5000 0.5000 0.1958
Zn1 Zn 0.5000 0.5000 0.8155
Te1 Te 0.0000 0.0000 0.3927

***

a has the most favorable energy; the next structure is 0.019 eV/atom above.

***

a:
# Mn2ZnTe | the Alexandria database | PBE-GGA | relaxed
# Calculated density in Mg/m³: 6.6
data_Mn2ZnTe
_cell_length_a 4.1084
_cell_length_b 4.1084
_cell_length_c 18.1350
_cell_angle_alpha 90.00
_cell_angle_beta 90.00
_cell_angle_gamma 90.00
_symmetry_space_group_name_H-M 'I -4 2 d'
_symmetry_Int_Tables_number 122
_symmetry_space_group_name_Hall 'I -4 2bw'
loop_
_atom_site_label
_atom_site_type_symbol
_atom_site_fract_x
_atom_site_fract_y
_atom_site_fract_z
Mn1 Mn 0.2422 0.2500 0.1250
Zn1 Zn 0.0000 0.0000 0.0000
Te1 Te 0.0000 0.0000 0.5000

***

b:
# Mn2ZnTe | the Alexandria database | PBE-GGA | relaxed
# Calculated density in Mg/m³: 8.9
data_Mn2ZnTe
_cell_length_a 6.0882
_cell_length_b 6.0882
_cell_length_c 6.0882
_cell_angle_alpha 90.00
_cell_angle_beta 90.00
_cell_angle_gamma 90.00
_symmetry_space_group_name_H-M 'F m -3 m'
_symmetry_Int_Tables_number 225
_symmetry_space_group_name_Hall '-F 4 2 3'
loop_
_atom_site_label
_atom_site_type_symbol
_atom_site_fract_x
_atom_site_fract_y
_atom_site_fract_z
Mn1 Mn 0.2500 0.2500 0.2500
Zn1 Zn 0.0000 0.0000 0.0000
Te1 Te 0.0000 0.0000 0.5000

***

b has the most favorable energy; the next structure is 0.044 eV/atom above.

***

a:
# Mn2ZnTe | the Alexandria database | PBE-GGA | relaxed
# Calculated density in Mg/m³: 7.2
data_Mn2ZnTe
_cell_length_a 3.4502
_cell_length_b 3.4502
_cell_length_c 5.8336
_cell_angle_alpha 90.00
_cell_angle_beta 90.00
_cell_angle_gamma 90.00
_symmetry_space_group_name_H-M 'P 4/m m m'
_symmetry_Int_Tables_number 123
_symmetry_space_group_name_Hall '-P 4 2'
loop_
_atom_site_label
_atom_site_type_symbol
_atom_site_fract_x
_atom_site_fract_y
_atom_site_fract_z
Mn1 Mn 0.0000 0.0000 0.2340
Zn1 Zn 0.5000 0.5000 0.0000
Te1 Te 0.5000 0.5000 0.5000

***

b:
# Mn2ZnTe | the Alexandria database | PBE-GGA | relaxed
# Calculated density in Mg/m³: 7.0
data_Mn2ZnTe
_cell_length_a 6.6099
_cell_length_b 6.6099
_cell_length_c 6.6099
_cell_angle_alpha 90.00
_cell_angle_beta 90.00
_cell_angle_gamma 90.00
_symmetry_space_group_name_H-M 'F -4 3 m'
_symmetry_Int_Tables_number 216
_symmetry_space_group_name_Hall 'F -4 2 3'
loop_
_atom_site_label
_atom_site_type_symbol
_atom_site_fract_x
_atom_site_fract_y
_atom_site_fract_z
Mn1 Mn 0.0000 0.0000 0.0000
Mn2 Mn 0.2500 0.2500 0.2500
Zn1 Zn 0.0000 0.0000 0.5000
Te1 Te 0.2500 0.2500 0.7500

***

c:
# Mn2ZnTe | the Alexandria database | PBE-GGA | relaxed
# Calculated density in Mg/m³: 7.3
data_Mn2ZnTe
_cell_length_a 3.5387
_cell_length_b 3.5387
_cell_length_c 5.5031
_cell_angle_alpha 90.00
_cell_angle_beta 90.00
_cell_angle_gamma 90.00
_symmetry_space_group_name_H-M 'P 4 m m'
_symmetry_Int_Tables_number 99
loop_
_symmetry_equiv_pos_as_xyz
'x,y,z'
'-y,x,z'
'-x,-y,z'
'y,-x,z'
'-x,y,z'
'y,x,z'
'x,-y,z'
'-y,-x,z'
loop_
_atom_site_label
_atom_site_type_symbol
_atom_site_fract_x
_atom_site_fract_y
_atom_site_fract_z
Mn1 Mn 0.0000 0.0000 0.0000
Mn2 Mn 0.5000 0.5000 0.2609
Zn1 Zn 0.5000 0.5000 0.8072
Te1 Te 0.0000 0.0000 0.4856

***

c has the most favorable energy; the next structure is 0.055 eV/atom above.

***

a:
# MnZnTe3 | the Alexandria database | PBE-GGA | relaxed
# Calculated density in Mg/m³: 5.7
data_MnZnTe3
_cell_length_a 5.2725
_cell_length_b 5.2725
_cell_length_c 5.2725
_cell_angle_alpha 90.00
_cell_angle_beta 90.00
_cell_angle_gamma 90.00
_symmetry_space_group_name_H-M 'P m -3 m'
_symmetry_Int_Tables_number 221
_symmetry_space_group_name_Hall '-P 4 2 3'
loop_
_atom_site_label
_atom_site_type_symbol
_atom_site_fract_x
_atom_site_fract_y
_atom_site_fract_z
Mn1 Mn 0.0000 0.0000 0.0000
Zn1 Zn 0.5000 0.5000 0.5000
Te1 Te 0.0000 0.5000 0.5000

***

b:
# MnZnTe3 | the Alexandria database | PBE-GGA | relaxed
# Calculated density in Mg/m³: 6.4
data_MnZnTe3
_cell_length_a 5.0781
_cell_length_b 5.0781
_cell_length_c 5.0781
_cell_angle_alpha 90.00
_cell_angle_beta 90.00
_cell_angle_gamma 90.00
_symmetry_space_group_name_H-M 'P m -3 m'
_symmetry_Int_Tables_number 221
_symmetry_space_group_name_Hall '-P 4 2 3'
loop_
_atom_site_label
_atom_site_type_symbol
_atom_site_fract_x
_atom_site_fract_y
_atom_site_fract_z
Mn1 Mn 0.0000 0.0000 0.0000
Zn1 Zn 0.5000 0.5000 0.5000
Te1 Te 0.0000 0.0000 0.5000

***

b has the most favorable energy; the next structure is 0.109 eV/atom above.